The following is a PBE calculation of a relaxed structure of LiMgRe2, from Alexandria via LeMat-Bulk.

Cell: 10.0677 10.0677 10.0677 Å, 159.12 159.12 29.69°
Closest atoms and distances in Å follow each position.
Sites, in units of the cell vectors:
Li  0.0000  0.0000  0.0000  4 Mg 2.58, 4 Re 2.74
Li  0.7500  0.2500  0.5000  4 Mg 2.58, 4 Re 2.74
Mg  0.2500  0.7500  0.5000  4 Li 2.58, 4 Re 2.77
Mg  0.5000  0.5000  0.0000  4 Li 2.58, 4 Re 2.77
Re  0.1154  0.1250  0.4904  4 Re 2.53-2.63, 2 Li 2.74, 2 Mg 2.77
Re  0.3750  0.8846  0.0096  4 Re 2.53-2.63, 2 Li 2.74, 2 Mg 2.77
Re  0.6346  0.6250  0.5096  4 Re 2.53-2.63, 2 Li 2.74, 2 Mg 2.77
Re  0.8750  0.3654  0.9904  4 Re 2.53-2.63, 2 Li 2.74, 2 Mg 2.77

## Properties
- formation energy from the elements (eV/atom) = 0.59
- M_tot (μB/f.u.) = 0.0
- SG = I-42d (122)
- energy relative to the lowest polymorph listed for this composition (eV per atom) = 0.445

---

The following is a PBE calculation of a relaxed structure of LiMgRe2, from Alexandria via LeMat-Bulk.

Cell: 3.1418 3.1418 6.0900 Å, 90.00 90.00 90.00°
Closest atoms and distances in Å follow each position.
Sites, in units of the cell vectors:
Li  0.0000  0.0000  0.0000  8 Re 2.51
Mg  0.0000  0.0000  0.5000  8 Re 2.91, 2 Li 3.05, 4 Mg 3.14
Re  0.5000  0.5000  0.1906  1 Re 2.32, 4 Li 2.51
Re  0.5000  0.5000  0.8094  1 Re 2.32, 4 Li 2.51

## Properties
- formation energy from the elements (eV/atom) = 0.65
- M_tot (μB/f.u.) = 0.0
- SG = P4/mmm (123)
- energy relative to the lowest polymorph listed for this composition (eV per atom) = 0.503

---

The following is a PBE calculation of a relaxed structure of LiMgRe2, from Alexandria via LeMat-Bulk.

Cell: 3.1148 3.1148 6.5312 Å, 90.00 90.00 90.00°
Closest atoms and distances in Å follow each position.
Sites, in units of the cell vectors:
Li  0.0000  0.0000  0.0000  5 Re 2.75-2.94, 4 Mg 2.77
Mg  0.5000  0.5000  0.2563  4 Li 2.77, 4 Re 2.92
Re  0.0000  0.0000  0.5500  4 Re 2.56
Re  0.5000  0.5000  0.7483  4 Re 2.56, 4 Li 2.75

## Properties
- formation energy from the elements (eV/atom) = 0.17
- M_tot (μB/f.u.) = 0.0
- SG = P4mm (99)
- energy relative to the lowest polymorph listed for this composition (eV per atom) = 0.019

---

The following is a PBE calculation of a relaxed structure of LiMgRe2, from Alexandria via LeMat-Bulk.

Cell: 5.2508 5.2508 5.2508 Å, 139.34 139.34 58.85°
Closest atoms and distances in Å follow each position.
Sites, in units of the cell vectors:
Li  0.0000  0.0000  0.0000  4 Mg 2.58
Mg  0.5000  0.5000  0.0000  4 Li 2.58
Re  0.2500  0.7500  0.5000  4 Re 2.58
Re  0.7500  0.2500  0.5000  4 Re 2.58

## Properties
- formation energy from the elements (eV/atom) = 0.31
- M_tot (μB/f.u.) = 0.0
- SG = I4/mmm (139)
- energy relative to the lowest polymorph listed for this composition (eV per atom) = 0.162

---

The following is a PBE calculation of a relaxed structure of LiMgRe2, from Alexandria via LeMat-Bulk.

Cell: 2.5956 2.5956 9.0605 Å, 90.00 90.00 90.00°
Closest atoms and distances in Å follow each position.
Sites, in units of the cell vectors:
Li  0.0000  0.0000  0.0000  4 Li 2.60
Mg  0.0000  0.0000  0.5000  4 Mg 2.60
Re  0.5000  0.5000  0.2491  4 Re 2.60
Re  0.5000  0.5000  0.7509  4 Re 2.60

## Properties
- formation energy from the elements (eV/atom) = 0.40
- M_tot (μB/f.u.) = 0.0
- SG = P4/mmm (123)
- energy relative to the lowest polymorph listed for this composition (eV per atom) = 0.257

---

The following is a PBE calculation of a relaxed structure of LiMgRe2, from Alexandria via LeMat-Bulk.

Cell: 9.5816 9.5816 9.5816 Å, 16.48 16.48 16.48°
Closest atoms and distances in Å follow each position.
Sites, in units of the cell vectors:
Li  0.0000  0.0000  0.0000  6 Li 2.75, 6 Re 2.85
Mg  0.5000  0.5000  0.5000  6 Mg 2.75, 6 Re 2.84
Re  0.2498  0.2498  0.2498  6 Re 2.75, 3 Mg 2.84, 3 Li 2.85
Re  0.7502  0.7502  0.7502  6 Re 2.75, 3 Mg 2.84, 3 Li 2.85

## Properties
- formation energy from the elements (eV/atom) = 0.37
- M_tot (μB/f.u.) = 0.0
- SG = R-3m (166)
- energy relative to the lowest polymorph listed for this composition (eV per atom) = 0.225

---

The following is a PBE calculation of a relaxed structure of LiMgRe2, from Alexandria via LeMat-Bulk.

Cell: 4.3538 4.3538 4.3538 Å, 120.09 120.09 89.84°
Closest atoms and distances in Å follow each position.
Sites, in units of the cell vectors:
Li  0.0000  0.0000  0.0000  4 Re 2.66, 4 Mg 2.66
Mg  0.7500  0.2500  0.5000  4 Re 2.66, 4 Li 2.66
Re  0.2500  0.7500  0.5000  4 Re 2.66, 4 Li 2.66
Re  0.5000  0.5000  0.0000  4 Re 2.66, 4 Mg 2.66

## Properties
- formation energy from the elements (eV/atom) = 0.15
- M_tot (μB/f.u.) = 0.0
- SG = I-4m2 (119)
- energy relative to the lowest polymorph listed for this composition (eV per atom) = 0.000

---

The following is a PBE calculation of a relaxed structure of LiMgRe2, from Alexandria via LeMat-Bulk.

Cell: 5.3113 5.3113 2.6203 Å, 97.59 97.59 121.39°
Closest atoms and distances in Å follow each position.
Sites, in units of the cell vectors:
Li  0.0000  0.0000  0.0000  2 Mg 2.60, 2 Li 2.62, 4 Re 2.80
Mg  0.5000  0.5000  0.0000  2 Li 2.60, 2 Mg 2.62, 4 Re 2.80
Re  0.0000  0.5000  0.5000  4 Re 2.60-2.62, 2 Li 2.80, 2 Mg 2.80
Re  0.5000  0.0000  0.5000  4 Re 2.60-2.62, 2 Li 2.80, 2 Mg 2.80

## Properties
- formation energy from the elements (eV/atom) = 0.29
- M_tot (μB/f.u.) = 0.0
- SG = C2/m (12)
- energy relative to the lowest polymorph listed for this composition (eV per atom) = 0.140

---

The following is a PBE calculation of a relaxed structure of LiMgRe2, from Alexandria via LeMat-Bulk.

Cell: 2.6043 4.5388 5.1547 Å, 90.00 90.00 90.00°
Closest atoms and distances in Å follow each position.
Sites, in units of the cell vectors:
Li  0.0000  0.0000  0.0000  2 Mg 2.58, 2 Li 2.60
Mg  0.0000  0.0000  0.5000  2 Li 2.58, 2 Mg 2.60
Re  0.5000  0.5000  0.2465  4 Re 2.54-2.61
Re  0.5000  0.5000  0.7535  4 Re 2.54-2.61

## Properties
- formation energy from the elements (eV/atom) = 0.37
- M_tot (μB/f.u.) = 0.0
- SG = Pmmm (47)
- energy relative to the lowest polymorph listed for this composition (eV per atom) = 0.227

---

The following is a PBE calculation of a relaxed structure of LiMgReRu, from Alexandria via LeMat-Bulk.

Cell: 4.3123 4.3123 4.3123 Å, 60.00 60.00 60.00°
Closest atoms and distances in Å follow each position.
Sites, in units of the cell vectors:
Li  0.0000  0.0000  0.0000  4 Mg 2.64, 4 Re 2.64
Mg  0.7500  0.7500  0.7500  4 Li 2.64, 4 Ru 2.64
Re  0.2500  0.2500  0.2500  4 Li 2.64, 4 Ru 2.64
Ru  0.5000  0.5000  0.5000  4 Re 2.64, 4 Mg 2.64

## Properties
- formation energy from the elements (eV/atom) = 0.05
- M_tot (μB/f.u.) = 0.0
- SG = F-43m (216)

---

The following is a PBE calculation of a relaxed structure of LiMg2ReSb, from Alexandria via LeMat-Bulk.

Cell: 5.0718 5.0718 4.8227 Å, 90.00 90.00 90.00°
Closest atoms and distances in Å follow each position.
Sites, in units of the cell vectors:
Li  0.0000  0.0000  0.0000  2 Re 2.41
Mg  0.0000  0.5000  0.5000  2 Re 2.54
Mg  0.5000  0.0000  0.5000  2 Re 2.54
Re  0.0000  0.0000  0.5000  2 Li 2.41, 4 Mg 2.54
Sb  0.5000  0.5000  0.0000  8 Mg 3.50, 4 Li 3.59

## Properties
- M_tot (μB/f.u.) = 0.8
- SG = P4/mmm (123)

---

The following is a PBE calculation of a relaxed structure of LiMgReTc2, from Alexandria via LeMat-Bulk.

Cell: 4.3215 4.3215 3.7924 Å, 90.00 90.00 90.00°
Closest atoms and distances in Å follow each position.
Sites, in units of the cell vectors:
Li  0.0000  0.0000  0.0000  2 Mg 1.90
Mg  0.0000  0.0000  0.5000  2 Li 1.90
Re  0.5000  0.5000  0.5000  8 Tc 2.87, 4 Mg 3.06
Tc  0.0000  0.5000  0.0000  2 Li 2.16
Tc  0.5000  0.0000  0.0000  2 Li 2.16

## Properties
- formation energy from the elements (eV/atom) = 1.18
- M_tot (μB/f.u.) = 0.0
- SG = P4/mmm (123)

---

For the records above, the corresponding DFT total energy values read -6.510; -6.451; -6.936; -6.792; -6.697; -6.729; -6.954; -6.814; -6.728; -6.259; -3.304; -6.155 eV per atom.